Density functional theory data (GGA+U) for a geometry-optimized KMnOF2 structure.

- DFT total energy (eV per cell) = -28.5
- distance to the lowest polymorph of the same formula (meV/atom) = 0
- SG = P4/mmm, No. 123
- density of states at the Fermi level (states/eV/f.u.) = 1.69

Unit cell a=4.247 b=4.247 c=3.779 alpha=90.00 beta=90.00 gamma=90.00
Site moments in Bohr magnetons follow the coordinates.
Fractional coordinates of all 5 atoms:
Mn  0.000  0.000  0.000  4.03
F  0.500  0.000  0.000  0.02
F  0.000  0.500  0.000  0.02
O  0.000  0.000  0.500  -0.15
K  0.500  0.500  0.500  0.00